(1)
PrBe2Si2Tc | PBE-GGA | relaxed

a b c (Å): 3.9064 3.9064 6.9406
angles (deg): 90.00 90.00 120.00
Closest atoms and distances in Å follow each position.
Sites, in units of the cell vectors:
Be 0.3333 0.6667 0.3422  4 Si 2.28-2.50, 3 Tc 2.51
Be 0.6667 0.3333 0.6578  4 Si 2.28-2.50, 3 Tc 2.51
Tc 0.0000 0.0000 0.5000  6 Be 2.51, 6 Si 2.66
Pr 0.0000 0.0000 0.0000  6 Si 3.06, 6 Be 3.28
Si 0.6667 0.3333 0.2980  4 Be 2.28-2.50
Si 0.3333 0.6667 0.7020  4 Be 2.28-2.50

Calculated values
formation energy (no corrections) = -0.380 eV per atom
magnetization = 0.000 μB/atom



(2)
CrAs2OsRh | PBE-GGA | relaxed

a b c (Å): 4.6526 4.7414 4.6526
angles (deg): 90.00 90.00 90.00
Closest atoms and distances in Å follow each position.
Sites, in units of the cell vectors:
As 0.0000 0.0000 0.5000  2 Rh 2.33
As 0.5000 0.0000 0.0000  2 Rh 2.33
Cr 0.5000 0.5000 0.5000  4 Os 3.29, 8 As 3.32
Os 0.0000 0.5000 0.0000  2 Rh 2.37
Rh 0.0000 0.0000 0.0000  4 As 2.33, 2 Os 2.37

Calculated values
magnetization = 0.003 μB/atom
energy of formation = 8.55 eV/f.u.